1.
# PBE RbZn2F6, optimized geometry
# Total energy, eV/atom: -3.80
# Space group: No. 162
data_RbZn2F6
_chemical_formula_sum 'Rb1 Zn2 F6'
_symmetry_space_group_name_H-M 'P 1'
_symmetry_Int_Tables_number 1
_cell_length_a 5.253
_cell_length_b 5.253
_cell_length_c 5.652
_cell_angle_alpha 90.00
_cell_angle_beta 90.00
_cell_angle_gamma 120.00
loop_
_symmetry_equiv_pos_as_xyz
'x,y,z'
loop_
_atom_site_label
_atom_site_fract_x
_atom_site_fract_y
_atom_site_fract_z
Rb1 0.000 0.000 0.000
Zn1 0.333 0.667 0.500
Zn2 0.667 0.333 0.500
F1 0.000 0.391 0.702
F2 0.000 0.609 0.298
F3 0.391 0.000 0.702
F4 0.391 0.391 0.298
F5 0.609 0.000 0.298
F6 0.609 0.609 0.702


2.
# PBE Tl2Cd, optimized geometry
# Total energy, eV/atom: -1.81
# Space group: No. 59
data_Tl2Cd
_chemical_formula_sum 'Tl4 Cd2'
_symmetry_space_group_name_H-M 'P 1'
_symmetry_Int_Tables_number 1
_cell_length_a 4.547
_cell_length_b 4.577
_cell_length_c 8.549
_cell_angle_alpha 90.00
_cell_angle_beta 90.00
_cell_angle_gamma 90.00
loop_
_symmetry_equiv_pos_as_xyz
'x,y,z'
loop_
_atom_site_label
_atom_site_fract_x
_atom_site_fract_y
_atom_site_fract_z
Tl1 0.250 0.250 0.002
Tl2 0.250 0.750 0.649
Tl3 0.750 0.250 0.351
Tl4 0.750 0.750 0.998
Cd1 0.250 0.750 0.286
Cd2 0.750 0.250 0.714


3.
# PBE Cu7Pb, optimized geometry
# Total energy, eV/atom: -3.55
# Space group: No. 129
data_Cu7Pb
_chemical_formula_sum 'Cu14 Pb2'
_symmetry_space_group_name_H-M 'P 1'
_symmetry_Int_Tables_number 1
_cell_length_a 2.797
_cell_length_b 2.797
_cell_length_c 36.334
_cell_angle_alpha 90.00
_cell_angle_beta 90.00
_cell_angle_gamma 90.00
loop_
_symmetry_equiv_pos_as_xyz
'x,y,z'
loop_
_atom_site_label
_atom_site_fract_x
_atom_site_fract_y
_atom_site_fract_z
Cu1 0.250 0.250 0.021
Cu2 0.250 0.250 0.104
Cu3 0.250 0.250 0.189
Cu4 0.250 0.250 0.274
Cu5 0.250 0.250 0.769
Cu6 0.250 0.250 0.854
Cu7 0.250 0.250 0.937
Cu8 0.750 0.750 0.063
Cu9 0.750 0.750 0.146
Cu10 0.750 0.750 0.231
Cu11 0.750 0.750 0.726
Cu12 0.750 0.750 0.811
Cu13 0.750 0.750 0.896
Cu14 0.750 0.750 0.979
Pb1 0.250 0.250 0.664
Pb2 0.750 0.750 0.336


4.
# PBE BeOs2O4, optimized geometry
# Total energy, eV/atom: -7.49
# Space group: No. 227
data_BeOs2O4
_chemical_formula_sum 'Be2 Os4 O8'
_symmetry_space_group_name_H-M 'P 1'
_symmetry_Int_Tables_number 1
_cell_length_a 5.740
_cell_length_b 5.740
_cell_length_c 5.740
_cell_angle_alpha 60.00
_cell_angle_beta 60.00
_cell_angle_gamma 60.00
loop_
_symmetry_equiv_pos_as_xyz
'x,y,z'
loop_
_atom_site_label
_atom_site_fract_x
_atom_site_fract_y
_atom_site_fract_z
Be1 0.125 0.125 0.125
Be2 0.875 0.875 0.875
Os1 0.000 0.500 0.500
Os2 0.500 0.000 0.500
Os3 0.500 0.500 0.000
Os4 0.500 0.500 0.500
O1 0.223 0.759 0.759
O2 0.241 0.241 0.241
O3 0.241 0.241 0.777
O4 0.241 0.777 0.241
O5 0.759 0.223 0.759
O6 0.759 0.759 0.223
O7 0.759 0.759 0.759
O8 0.777 0.241 0.241


5.
# PBE Rb2TlCdF6, optimized geometry
# Total energy, eV/atom: -3.91
# Space group: No. 2
data_Rb2TlCdF6
_chemical_formula_sum 'Rb2 Tl1 Cd1 F6'
_symmetry_space_group_name_H-M 'P 1'
_symmetry_Int_Tables_number 1
_cell_length_a 6.194
_cell_length_b 6.210
_cell_length_c 6.287
_cell_angle_alpha 89.57
_cell_angle_beta 61.28
_cell_angle_gamma 60.29
loop_
_symmetry_equiv_pos_as_xyz
'x,y,z'
loop_
_atom_site_label
_atom_site_fract_x
_atom_site_fract_y
_atom_site_fract_z
Rb1 0.003 0.248 0.242
Rb2 0.997 0.752 0.758
Tl1 0.500 0.000 0.500
Cd1 0.500 0.500 0.000
F1 0.012 0.783 0.205
F2 0.433 0.344 0.327
F3 0.493 0.205 0.815
F4 0.507 0.795 0.185
F5 0.567 0.656 0.673
F6 0.988 0.217 0.795


6.
# PBE Ta3TlB4, optimized geometry
# Total energy, eV/atom: -8.48
# Space group: No. 47
data_Ta3TlB4
_chemical_formula_sum 'Ta3 Tl1 B4'
_symmetry_space_group_name_H-M 'P 1'
_symmetry_Int_Tables_number 1
_cell_length_a 3.050
_cell_length_b 3.203
_cell_length_c 10.123
_cell_angle_alpha 90.00
_cell_angle_beta 90.00
_cell_angle_gamma 90.00
loop_
_symmetry_equiv_pos_as_xyz
'x,y,z'
loop_
_atom_site_label
_atom_site_fract_x
_atom_site_fract_y
_atom_site_fract_z
Ta1 0.000 0.000 0.000
Ta2 0.500 0.000 0.268
Ta3 0.500 0.000 0.732
Tl1 0.000 0.500 0.500
B1 0.000 0.500 0.181
B2 0.000 0.500 0.819
B3 0.500 0.500 0.094
B4 0.500 0.500 0.906